(1)
NaHPd3: relaxed, GGA-PBE.

Cell: 10.728 7.562 7.562 Å, 78.40 124.02 55.98°
Sites, in units of the cell vectors:
Pd1 0.085 0.226 0.148
Pd2 0.568 0.617 0.509
Pd3 0.415 0.648 0.726
Pd4 0.932 0.009 0.117
Na1 0.915 0.520 0.619
Pd5 0.068 0.991 0.883
Na2 0.415 0.881 0.980
H1 0.750 0.172 0.672
Na3 0.585 0.119 0.020
Na4 0.085 0.480 0.381
Pd6 0.591 0.844 0.762
H2 0.250 0.531 0.031
Pd7 0.915 0.774 0.852
Pd8 0.585 0.352 0.274
H3 0.750 0.469 0.969
Pd9 0.409 0.156 0.238
Pd10 0.091 0.738 0.656
Pd11 0.909 0.262 0.344
H4 0.250 0.828 0.328
Pd12 0.432 0.383 0.491

Summary:
energy above the lowest structure with this stoichiometry	0.082	eV per atom
E_tot	-4.11	eV per atom
total moment	0.00	μB per formula unit
DOS(E_F)	1.38	states/eV/f.u.
space-group type	C2/c, No. 15

***

(2)
NaHPd3: relaxed, GGA-PBE.

Cell: 5.090 5.614 5.090 Å, 90.01 67.86 89.99°
Sites, in units of the cell vectors:
Pd1 0.395 0.748 0.108
H1 0.164 0.497 0.403
Pd2 0.395 0.249 0.108
Pd3 0.894 0.248 0.607
Pd4 0.393 0.999 0.605
H2 0.598 0.997 0.838
Pd5 0.894 0.749 0.607
Pd6 0.397 0.499 0.608
Na1 0.891 0.499 0.101
Na2 0.900 0.999 0.111

Summary:
energy above the lowest structure with this stoichiometry	0.000	eV per atom
E_tot	-4.19	eV per atom
total moment	0.00	μB per formula unit
DOS(E_F)	1.75	states/eV/f.u.
space-group type	Cc, No. 9

***

(3)
NaH2Pd2: relaxed, GGA-PBE.

Cell: 6.004 6.004 3.461 Å, 90.00 90.00 90.00°
Sites, in units of the cell vectors:
Pd1 0.160 0.660 0.500
Na1 0.000 0.000 0.000
H1 0.648 0.852 0.000
Pd2 0.660 0.840 0.500
H2 0.852 0.352 0.000
H3 0.148 0.648 0.000
Pd3 0.840 0.340 0.500
H4 0.352 0.148 0.000
Pd4 0.340 0.160 0.500
Na2 0.500 0.500 0.000

Summary:
energy above the lowest structure with this stoichiometry	0.213	eV per atom
E_tot	-3.67	eV per atom
total moment	0.00	μB per formula unit
DOS(E_F)	1.26	states/eV/f.u.
space-group type	P4/mbm, No. 127

***

Question: DOS(E_F) of number 3 (NaH2Pd2)?
Answer: 1.26 states/eV/f.u.

***

Question: DOS(E_F) of number 1 (NaHPd3)?
Answer: 1.38 states/eV/f.u.

***

Question: What is the energy above the lowest structure with this stoichiometry in the third record?
Answer: 0.213 eV per atom

***

Question: total moment of number 1 (NaHPd3)?
Answer: 0.00 μB per formula unit